1) Here is YZn3P after structural relaxation from Alexandria via LeMat-Bulk. Energies are from PBE-GGA.

magnetization: 0.00 μB/cell
SG: Pm-3m

Unit cell a=4.708 b=4.708 c=4.708 alpha=90.00 beta=90.00 gamma=90.00
Positions (direct):
Y1 0.000 0.000 0.000
Zn1 0.000 0.500 0.500
Zn2 0.500 0.000 0.500
Zn3 0.500 0.500 0.000
P1 0.500 0.500 0.500

---

2) Here is YZn3P after structural relaxation from Alexandria via LeMat-Bulk. Energies are from PBE-GGA.

magnetization: 0.10 μB/cell
SG: Pm-3m

Unit cell a=5.438 b=5.438 c=5.438 alpha=90.00 beta=90.00 gamma=90.00
Positions (direct):
Y1 0.000 0.000 0.000
Zn1 0.000 0.000 0.500
Zn2 0.000 0.500 0.000
Zn3 0.500 0.000 0.000
P1 0.500 0.500 0.500

---

Sorted by energy, starting with the most stable: 1), 2).

---

1) Here is YZnP3 after structural relaxation from Alexandria via LeMat-Bulk. Energies are from PBE-GGA.

magnetization: 0.00 μB/cell
SG: Pm-3m

Unit cell a=5.254 b=5.254 c=5.254 alpha=90.00 beta=90.00 gamma=90.00
Positions (direct):
Y1 0.000 0.000 0.000
Zn1 0.500 0.500 0.500
P1 0.000 0.000 0.500
P2 0.000 0.500 0.000
P3 0.500 0.000 0.000

---

2) Here is YZnP3 after structural relaxation from Alexandria via LeMat-Bulk. Energies are from PBE-GGA.

magnetization: 0.00 μB/cell
SG: Pm-3m

Unit cell a=4.652 b=4.652 c=4.652 alpha=90.00 beta=90.00 gamma=90.00
Positions (direct):
Y1 0.000 0.000 0.000
Zn1 0.500 0.500 0.500
P1 0.000 0.500 0.500
P2 0.500 0.000 0.500
P3 0.500 0.500 0.000

---

Sorted by energy, starting with the most stable: 2), 1).

---

1) Here is YZr2P2 after structural relaxation from Alexandria via LeMat-Bulk. Energies are from PBE-GGA.

magnetization: 0.00 μB/cell
SG: I4/mmm

Unit cell a=5.737 b=5.737 c=5.737 alpha=129.26 beta=129.26 gamma=74.59
Positions (direct):
Y1 0.000 0.000 0.000
Zr1 0.340 0.340 0.000
Zr2 0.660 0.660 0.000
P1 0.250 0.750 0.500
P2 0.750 0.250 0.500

---

2) Here is YZr2P2 after structural relaxation from Alexandria via LeMat-Bulk. Energies are from PBE-GGA.

magnetization: 0.00 μB/cell
SG: P4/mbm

Unit cell a=7.322 b=7.322 c=3.572 alpha=90.00 beta=90.00 gamma=90.00
Positions (direct):
Y1 0.000 0.000 0.000
Y2 0.500 0.500 0.000
Zr1 0.155 0.345 0.500
Zr2 0.345 0.845 0.500
Zr3 0.655 0.155 0.500
Zr4 0.845 0.655 0.500
P1 0.138 0.638 0.000
P2 0.362 0.138 0.000
P3 0.638 0.862 0.000
P4 0.862 0.362 0.000

---

Sorted by energy, starting with the most stable: 2), 1).

---

1) Here is Zn3P2 after structural relaxation from Alexandria via LeMat-Bulk. Energies are from PBE-GGA.

magnetization: 0.00 μB/cell
SG: Ia-3

Unit cell a=9.923 b=9.923 c=9.923 alpha=109.47 beta=109.47 gamma=109.47
Positions (direct):
Zn1 0.010 0.475 0.747
Zn2 0.025 0.035 0.272
Zn3 0.035 0.272 0.025
Zn4 0.228 0.263 0.753
Zn5 0.237 0.465 0.490
Zn6 0.247 0.772 0.737
Zn7 0.253 0.990 0.525
Zn8 0.263 0.753 0.228
Zn9 0.272 0.025 0.035
Zn10 0.465 0.490 0.237
Zn11 0.475 0.747 0.010
Zn12 0.490 0.237 0.465
Zn13 0.510 0.763 0.535
Zn14 0.525 0.253 0.990
Zn15 0.535 0.510 0.763
Zn16 0.728 0.975 0.965
Zn17 0.737 0.247 0.772
Zn18 0.747 0.010 0.475
Zn19 0.753 0.228 0.263
Zn20 0.763 0.535 0.510
Zn21 0.772 0.737 0.247
Zn22 0.965 0.728 0.975
Zn23 0.975 0.965 0.728
Zn24 0.990 0.525 0.253
P1 0.000 0.000 0.500
P2 0.000 0.500 0.000
P3 0.009 0.750 0.759
P4 0.241 0.991 0.250
P5 0.250 0.241 0.991
P6 0.250 0.741 0.491
P7 0.259 0.509 0.750
P8 0.491 0.250 0.741
P9 0.500 0.000 0.000
P10 0.500 0.500 0.500
P11 0.509 0.750 0.259
P12 0.741 0.491 0.250
P13 0.750 0.259 0.509
P14 0.750 0.759 0.009
P15 0.759 0.009 0.750
P16 0.991 0.250 0.241

---

2) Here is Zn3P2 after structural relaxation from Alexandria via LeMat-Bulk. Energies are from PBE-GGA.

magnetization: 0.00 μB/cell
SG: Pn-3m

Unit cell a=5.708 b=5.708 c=5.708 alpha=90.00 beta=90.00 gamma=90.00
Positions (direct):
Zn1 0.250 0.250 0.750
Zn2 0.250 0.750 0.250
Zn3 0.250 0.750 0.750
Zn4 0.750 0.250 0.250
Zn5 0.750 0.250 0.750
Zn6 0.750 0.750 0.250
P1 0.000 0.000 0.000
P2 0.000 0.500 0.500
P3 0.500 0.000 0.500
P4 0.500 0.500 0.000

---

3) Here is Zn3P2 after structural relaxation from Alexandria via LeMat-Bulk. Energies are from PBE-GGA.

magnetization: 0.00 μB/cell
SG: R-3m

Unit cell a=7.357 b=7.357 c=7.357 alpha=29.61 beta=29.61 gamma=29.61
Positions (direct):
Zn1 0.000 0.000 0.000
Zn2 0.213 0.213 0.213
Zn3 0.787 0.787 0.787
P1 0.406 0.406 0.406
P2 0.594 0.594 0.594

---

Sorted by energy, starting with the most stable: 1), 2), 3).

---

1) Here is Zn3P2 after structural relaxation from Alexandria via LeMat-Bulk. Energies are from PBE-GGA.

magnetization: 0.00 μB/cell
SG: P-3m1

Unit cell a=3.897 b=3.897 c=6.475 alpha=90.00 beta=90.00 gamma=120.00
Positions (direct):
Zn1 0.000 0.000 0.000
Zn2 0.333 0.667 0.373
Zn3 0.667 0.333 0.627
P1 0.333 0.667 0.768
P2 0.667 0.333 0.232

---

2) Here is Zn3P2 after structural relaxation from Alexandria via LeMat-Bulk. Energies are from PBE-GGA.

magnetization: 0.00 μB/cell
SG: P4_2/nmc

Unit cell a=8.121 b=8.121 c=11.424 alpha=90.00 beta=90.00 gamma=90.00
Positions (direct):
Zn1 0.003 0.750 0.102
Zn2 0.033 0.250 0.635
Zn3 0.033 0.750 0.644
Zn4 0.250 0.033 0.135
Zn5 0.250 0.467 0.135
Zn6 0.250 0.503 0.398
Zn7 0.250 0.533 0.856
Zn8 0.250 0.967 0.856
Zn9 0.250 0.997 0.398
Zn10 0.467 0.250 0.635
Zn11 0.467 0.750 0.644
Zn12 0.497 0.750 0.102
Zn13 0.503 0.250 0.898
Zn14 0.533 0.250 0.356
Zn15 0.533 0.750 0.365
Zn16 0.750 0.003 0.602
Zn17 0.750 0.033 0.144
Zn18 0.750 0.467 0.144
Zn19 0.750 0.497 0.602
Zn20 0.750 0.533 0.865
Zn21 0.750 0.967 0.865
Zn22 0.967 0.250 0.356
Zn23 0.967 0.750 0.365
Zn24 0.997 0.250 0.898
P1 0.004 0.504 0.250
P2 0.004 0.996 0.250
P3 0.250 0.250 0.496
P4 0.250 0.250 0.996
P5 0.250 0.750 0.504
P6 0.250 0.750 0.996
P7 0.496 0.504 0.250
P8 0.496 0.996 0.250
P9 0.504 0.004 0.750
P10 0.504 0.496 0.750
P11 0.750 0.250 0.004
P12 0.750 0.250 0.496
P13 0.750 0.750 0.004
P14 0.750 0.750 0.504
P15 0.996 0.004 0.750
P16 0.996 0.496 0.750

---

3) Here is Zn3P2 after structural relaxation from Alexandria via LeMat-Bulk. Energies are from PBE-GGA.

magnetization: 0.00 μB/cell
SG: Fdd2

Unit cell a=6.939 b=5.773 c=8.282 alpha=55.78 beta=43.47 gamma=80.75
Positions (direct):
Zn1 0.000 0.000 0.000
Zn2 0.250 0.250 0.250
Zn3 0.481 0.547 0.345
Zn4 0.547 0.481 0.627
Zn5 0.623 0.905 0.703
Zn6 0.905 0.623 0.769
P1 0.033 0.511 0.458
P2 0.251 0.792 0.739
P3 0.511 0.033 0.999
P4 0.792 0.251 0.217

---

Sorted by energy, starting with the most stable: 2), 1), 3).

---

1) Here is Zn4P after structural relaxation from Alexandria via LeMat-Bulk. Energies are from PBE-GGA.

magnetization: 0.00 μB/cell
SG: I4/m

Unit cell a=4.836 b=4.836 c=4.836 alpha=99.73 beta=99.73 gamma=131.46
Positions (direct):
Zn1 0.099 0.696 0.795
Zn2 0.304 0.099 0.402
Zn3 0.696 0.901 0.598
Zn4 0.901 0.304 0.205
P1 0.500 0.500 0.000

---

2) Here is Zn4P after structural relaxation from Alexandria via LeMat-Bulk. Energies are from PBE-GGA.

magnetization: 0.00 μB/cell
SG: Pm-3m

Unit cell a=4.741 b=4.741 c=4.741 alpha=90.00 beta=90.00 gamma=90.00
Positions (direct):
Zn1 0.000 0.000 0.000
Zn2 0.000 0.500 0.500
Zn3 0.500 0.000 0.500
Zn4 0.500 0.500 0.000
P1 0.500 0.500 0.500

---

Sorted by energy, starting with the most stable: 1), 2).